(1)
Here is an optimized crystal structure of TaTeAu2 from the Alexandria database. Energies are from PBE.

Crystal system = orthorhombic
Calculated volume = 20.0 Å³/atom
Density of states at the Fermi level = 4.1 states/eV/cell
Formation energy (no corrections) = 115.0 kJ/mol of formula units

Lattice parameters (Å, degrees): 5.515 9.041 3.211 90.00 90.00 90.00
Space group Cmmm (No. 65)
Asymmetric unit:
Ta (0.000, 0.000, 0.000)
Te (0.000, 0.500, 0.000)
Au (0.250, 0.250, 0.500)

=====

(2)
Here is an optimized crystal structure of TaTe2Au from the Alexandria database. Energies are from PBE.

Crystal system = cubic
Calculated volume = 22.3 Å³/atom
Density of states at the Fermi level = 13.4 states/eV/cell
Formation energy (no corrections) = 230.2 kJ/mol of formula units
Distance to the lowest polymorph of the same formula = 666 meV/atom

Lattice parameters (Å, degrees): 7.097 7.097 7.097 90.00 90.00 90.00
Space group F-43m (No. 216)
Asymmetric unit:
Ta (0.000, 0.000, 0.000)
Te (0.000, 0.000, 0.500)
Te (0.250, 0.250, 0.750)
Au (0.250, 0.250, 0.250)

=====

(3)
Here is an optimized crystal structure of TaTe2Au from the Alexandria database. Energies are from PBE.

Crystal system = monoclinic
Calculated volume = 22.6 Å³/atom
Density of states at the Fermi level = 5.8 states/eV/cell
Formation energy (no corrections) = 199.8 kJ/mol of formula units
Distance to the lowest polymorph of the same formula = 587 meV/atom

Lattice parameters (Å, degrees): 6.289 9.217 3.544 90.00 118.41 90.00
Space group C2/m (No. 12)
Asymmetric unit:
Ta (0.000, 0.000, 0.000)
Te (0.250, 0.250, 0.500)
Au (0.000, 0.500, 0.000)

=====

(4)
Here is an optimized crystal structure of TaTe2Au from the Alexandria database. Energies are from PBE.

Crystal system = trigonal
Calculated volume = 23.4 Å³/atom
Density of states at the Fermi level = 2.8 states/eV/cell
Formation energy (no corrections) = -4.7 kJ/mol of formula units
Distance to the lowest polymorph of the same formula = 57 meV/atom

Lattice parameters (Å, degrees): 3.6285 3.6285 24.6539 90.00 90.00 120.00
Space group R-3m (No. 166, hexagonal axes)
Asymmetric unit:
Ta (0.0000, 0.0000, 0.0000)
Te (0.0000, 0.0000, 0.2564)
Au (0.0000, 0.0000, 0.5000)

=====

(5)
Here is an optimized crystal structure of TaTe8Au2 from the Alexandria database. Energies are from PBE.

Crystal system = monoclinic
Calculated volume = 30.7 Å³/atom
Density of states at the Fermi level = 8.8 states/eV/cell
Formation energy (no corrections) = 28.0 kJ/mol of formula units

Lattice parameters (Å, degrees): 13.424 8.601 5.874 90.00 94.73 90.00
Space group C2/m (No. 12)
Asymmetric unit:
Ta (0.000, 0.000, 0.000)
Te (0.056, 0.253, 0.728)
Te (0.112, 0.500, 0.172)
Te (0.185, 0.000, 0.234)
Au (0.187, 0.000, 0.724)

=====

(6)
Here is an optimized crystal structure of TaTe2Au from the Alexandria database. Energies are from PBE.

Crystal system = trigonal
Calculated volume = 26.2 Å³/atom
Density of states at the Fermi level = 3.1 states/eV/cell
Formation energy (no corrections) = -26.8 kJ/mol of formula units
Distance to the lowest polymorph of the same formula = 0 meV/atom

Lattice parameters (Å, degrees): 3.6739 3.6739 26.8698 90.00 90.00 120.00
Space group R-3m (No. 166, hexagonal axes)
Asymmetric unit:
Ta (0.0000, 0.0000, 0.0000)
Te (0.0000, 0.0000, 0.4009)
Au (0.0000, 0.0000, 0.5000)

=====

(7)
Here is an optimized crystal structure of Ta2TeAu from the Alexandria database. Energies are from PBE.

Crystal system = orthorhombic
Calculated volume = 19.3 Å³/atom
Density of states at the Fermi level = 7.7 states/eV/cell
Formation energy (no corrections) = 92.7 kJ/mol of formula units

Lattice parameters (Å, degrees): 3.338 4.844 9.550 90.00 90.00 90.00
Space group Imm2 (No. 44)
Asymmetric unit:
Ta (0.000, 0.000, 0.000)
Ta (0.000, 0.500, 0.253)
Te (0.000, 0.500, 0.737)
Au (0.000, 0.000, 0.495)

=====

(8)
Here is an optimized crystal structure of Ta2TeAu from the Alexandria database. Energies are from PBE.

Crystal system = tetragonal
Calculated volume = 18.8 Å³/atom
Density of states at the Fermi level = 2.8 states/eV/cell
Formation energy (no corrections) = 78.7 kJ/mol of formula units

Lattice parameters (Å, degrees): 4.846 4.846 3.202 90.00 90.00 90.00
Space group P4/mmm (No. 123)
Asymmetric unit:
Ta (0.000, 0.500, 0.000)
Te (0.000, 0.000, 0.500)
Au (0.500, 0.500, 0.500)